Pm5Si2Bi | PBE | optimized geometry

## Properties
total magnetization: 8.8 μB/cell
E: -0.404 Ry/atom

a b c (Å): 7.9653 7.9653 14.2527
angles (deg): 90.00 90.00 90.00
Space group I4/mcm (No. 140)
Inequivalent atoms, fractional coordinates:
Pm  0.0000  0.0000  0.0000
Pm  0.1629  0.3371  0.1374
Si  0.1345  0.3655  0.5000
Bi  0.0000  0.0000  0.2500